A plane-wave DFT calculation with PBE-GGA was carried out for a geometry-optimized CeInRuPt structure.

ΔE_f in meV/atom: -478
Crystal system: cubic
E_tot in eV/atom: -6.475

a = 4.8071 Å, b = 4.8071 Å, c = 4.8071 Å
α = 60.00°, β = 60.00°, γ = 60.00°
Closest atoms and distances in Å follow each position.
Fractional positions:
Ru 0.7500 0.7500 0.7500  4 In 2.94, 4 Ce 2.94
In 0.0000 0.0000 0.0000  4 Ru 2.94, 4 Pt 2.94
Pt 0.2500 0.2500 0.2500  4 In 2.94, 4 Ce 2.94
Ce 0.5000 0.5000 0.5000  4 Ru 2.94, 4 Pt 2.94